CsPuSiO4 | PBE-GGA | relaxed

The structure in POSCAR format:
```
CsPuSiO4
1.0
5.821 0.000 0.000
0.000 5.899 0.000
-2.475 0.000 7.695
Cs Pu Si O
2 2 2 8
Cartesian
0.106 1.475 3.297
3.240 4.424 4.397
-0.727 1.475 7.368
4.073 4.424 0.327
1.126 4.424 1.154
2.220 1.475 6.541
-1.972 4.424 7.318
-0.163 4.424 2.161
2.164 3.130 1.305
2.164 5.719 1.305
1.182 0.180 6.390
1.182 2.770 6.390
3.510 1.475 5.534
5.318 1.475 0.376
```

Calculated values
Magnetization ... 10.00 Bohr magnetons per cell
Raw formation energy ... -252 kJ per mole of atoms